First-principles (PBE+U) data for MnTlVO4 after structural relaxation, as listed in the Alexandria database.

Lattice parameters (Å, degrees): 5.438 5.785 7.723 90.00 97.42 90.00
Element x y z (fractional)
Mn (0.184, 0.250, 0.474)
Mn (0.816, 0.750, 0.526)
Tl (0.152, 0.750, 0.137)
Tl (0.848, 0.250, 0.863)
V (0.339, 0.750, 0.651)
V (0.661, 0.250, 0.349)
O (0.139, 0.512, 0.669)
O (0.139, 0.988, 0.669)
O (0.372, 0.250, 0.226)
O (0.409, 0.750, 0.438)
O (0.591, 0.250, 0.562)
O (0.628, 0.750, 0.774)
O (0.861, 0.012, 0.331)
O (0.861, 0.488, 0.331)

Results
- magnetic moment (μB/f.u.) = 5.00
- space group = P2_1/m, No. 11
- final energy (eV/f.u.) = -48.25